1.
# NaDyTe2O6

An optimized crystal structure of NaDyTe2O6 (PBE, the Alexandria database).

Properties
**Crystal system**: monoclinic
**Symmetry**: No. 15
**ΔE_f (raw)**: -1811 meV/atom
**Calculated volume**: 335 Å³ per cell

Cell: 6.791 7.357 7.357 Å, 78.49 73.40 73.40°
Fractional coordinates of all 20 atoms:
O1 0.191 0.665 0.604
Te1 0.697 0.145 0.338
Te2 0.303 0.855 0.662
O2 0.440 0.306 0.934
Na1 0.250 0.325 0.675
O3 0.809 0.335 0.396
O4 0.940 0.934 0.306
Te3 0.197 0.338 0.145
O5 0.918 0.392 0.906
O6 0.560 0.694 0.066
O7 0.418 0.906 0.392
O8 0.060 0.066 0.694
O9 0.582 0.094 0.608
O10 0.082 0.608 0.094
Te4 0.803 0.662 0.855
Dy1 0.250 0.724 0.276
O11 0.691 0.604 0.665
Na2 0.750 0.675 0.325
Dy2 0.750 0.276 0.724
O12 0.309 0.396 0.335



2.
# Nd3Ga4Ge

An optimized crystal structure of Nd3Ga4Ge (PBE, the Alexandria database).

Properties
**Crystal system**: orthorhombic
**Symmetry**: No. 71
**Energy of formation**: -439 meV per atom
**Calculated volume**: 205 Å³ per cell

Cell: 4.599 7.232 7.518 Å, 118.75 107.81 90.00°
Fractional coordinates of all 8 atoms:
Ga1 0.384 0.180 0.768
Nd1 0.000 0.500 0.000
Nd2 0.175 0.175 0.349
Nd3 0.825 0.825 0.651
Ga2 0.616 0.412 0.232
Ga3 0.384 0.588 0.768
Ge1 0.500 0.000 0.000
Ga4 0.616 0.820 0.232



3.
# AcTi2FeN4

An optimized crystal structure of AcTi2FeN4 (PBE, the Alexandria database).

Properties
**Crystal system**: orthorhombic
**Symmetry**: No. 63
**ΔE_f (raw)**: -1052 meV/atom
**Calculated volume**: 190 Å³ per cell

Cell: 3.240 5.711 10.717 Å, 90.00 90.00 106.48°
Fractional coordinates of all 16 atoms:
N1 0.000 0.000 0.000
N2 0.735 0.471 0.894
N3 0.265 0.529 0.106
Ac1 0.903 0.806 0.250
N4 0.415 0.830 0.750
Ti1 0.366 0.732 0.546
N5 0.735 0.471 0.606
Fe1 0.832 0.664 0.750
Fe2 0.168 0.336 0.250
Ac2 0.097 0.194 0.750
N6 0.000 0.000 0.500
N7 0.265 0.529 0.394
N8 0.585 0.170 0.250
Ti2 0.634 0.268 0.454
Ti3 0.634 0.268 0.046
Ti4 0.366 0.732 0.954



4.
# CsCa2MgIr

An optimized crystal structure of CsCa2MgIr (PBE, the Alexandria database).

Properties
**Crystal system**: tetragonal
**Symmetry**: No. 123
**Energy of formation**: -43 meV per atom
**Calculated volume**: 174 Å³ per cell

Cell: 5.651 5.651 5.462 Å, 90.00 90.00 90.00°
Fractional coordinates of all 5 atoms:
Ca1 0.500 0.000 0.000
Mg1 0.000 0.000 0.500
Ir1 0.000 0.000 0.000
Cs1 0.500 0.500 0.500
Ca2 0.000 0.500 0.000



5.
# Mn2ReSnPt

An optimized crystal structure of Mn2ReSnPt (PBE, the Alexandria database).

Properties
**Crystal system**: tetragonal
**Symmetry**: No. 123
**Energy of formation**: 1704 meV per atom
**Calculated volume**: 101 Å³ per cell

Cell: 4.562 4.832 4.562 Å, 90.00 90.00 90.00°
Fractional coordinates of all 5 atoms:
Pt1 0.000 0.000 0.000
Re1 0.000 0.500 0.000
Mn1 0.500 0.000 0.000
Sn1 0.500 0.500 0.500
Mn2 0.000 0.000 0.500



6.
# Y2ZrBr

An optimized crystal structure of Y2ZrBr (PBE, the Alexandria database).

Properties
**Crystal system**: tetragonal
**Symmetry**: No. 139
**ΔE_f (raw)**: 134 meV/atom
**Calculated volume**: 108 Å³ per cell

Cell: 5.890 5.890 5.890 Å, 132.70 132.70 69.12°
Fractional coordinates of all 4 atoms:
Br1 0.750 0.250 0.500
Y1 0.000 0.000 0.000
Zr1 0.250 0.750 0.500
Y2 0.500 0.500 0.000



7.
# PmPr2Mg

An optimized crystal structure of PmPr2Mg (PBE, the Alexandria database).

Properties
**Crystal system**: tetragonal
**Symmetry**: No. 123
**Energy of formation**: -41 meV per atom
**Calculated volume**: 131 Å³ per cell

Cell: 3.782 3.782 9.167 Å, 90.00 90.00 90.00°
Fractional coordinates of all 4 atoms:
Pr1 0.000 0.000 0.227
Mg1 0.500 0.500 0.000
Pr2 0.000 0.000 0.773
Pm1 0.500 0.500 0.500



8.
# Ti2IrI

An optimized crystal structure of Ti2IrI (PBE, the Alexandria database).

Properties
**Crystal system**: tetragonal
**Symmetry**: No. 122
**ΔE_f (raw)**: 233 meV/atom
**Calculated volume**: 217 Å³ per cell

Cell: 6.063 6.063 7.286 Å, 65.41 65.41 90.00°
Fractional coordinates of all 8 atoms:
I1 0.500 0.500 0.000
Ti1 0.066 0.625 0.250
Ti2 0.875 0.934 0.750
Ti3 0.375 0.316 0.750
Ti4 0.684 0.125 0.250
I2 0.250 0.750 0.500
Ir1 0.750 0.250 0.500
Ir2 0.000 0.000 0.000



Question: calculated volume of number 1 (NaDyTe2O6)?
Answer: 335 Å³ per cell



Question: Among the records above, which one has the highest calculated volume?
Answer: NaDyTe2O6